This record from Alexandria describes a relaxed PrGdHo4 crystal. The functional is PBE.

Properties
**Energy of formation from the pure elements**: 0.2549 eV/atom

Cell: 6.608 6.608 6.608 Å, 60.00 60.00 60.00°
Last column: magnetic moment on the atom in μB.
Element x y z (fractional)
Pr (0.250, 0.250, 0.250)  -0.01
Gd (0.000, 0.000, 0.000)  -7.43
Ho (0.625, 0.625, 0.125)  -0.08
Ho (0.625, 0.125, 0.625)  -0.08
Ho (0.625, 0.625, 0.625)  -0.08
Ho (0.125, 0.625, 0.625)  -0.08



This record from Alexandria describes a relaxed PrGdHo2 crystal. The functional is PBE.

Properties
**Energy of formation from the pure elements**: 0.0177 eV/atom

Cell: 5.039 5.084 5.084 Å, 90.00 90.00 90.00°
Last column: magnetic moment on the atom in μB.
Element x y z (fractional)
Pr (0.500, 0.000, 0.000)  0.05
Gd (0.500, 0.500, 0.500)  -7.16
Ho (0.000, 0.000, 0.500)  0.03
Ho (0.000, 0.500, 0.000)  0.03



This record from Alexandria describes a relaxed Pr2GdHo crystal. The functional is PBE.

Properties
**Energy of formation from the pure elements**: 0.1031 eV/atom

Cell: 5.781 5.781 5.781 Å, 60.00 60.00 60.00°
Last column: magnetic moment on the atom in μB.
Element x y z (fractional)
Pr (0.250, 0.250, 0.250)  0.08
Pr (0.750, 0.750, 0.750)  0.08
Gd (0.000, 0.000, 0.000)  7.25
Ho (0.500, 0.500, 0.500)  0.07



This record from Alexandria describes a relaxed PrGdHoRu crystal. The functional is PBE.

Properties
**Energy of formation from the pure elements**: 0.1601 eV/atom

Cell: 5.234 5.234 5.234 Å, 60.00 60.00 60.00°
Last column: magnetic moment on the atom in μB.
Element x y z (fractional)
Pr (0.750, 0.750, 0.750)  0.06
Ru (0.000, 0.000, 0.000)  -0.14
Gd (0.250, 0.250, 0.250)  7.14
Ho (0.500, 0.500, 0.500)  0.16



This record from Alexandria describes a relaxed PrGdHoSc crystal. The functional is PBE.

Properties
**Energy of formation from the pure elements**: 0.0974 eV/atom

Cell: 5.596 5.596 5.596 Å, 60.00 60.00 60.00°
Last column: magnetic moment on the atom in μB.
Element x y z (fractional)
Pr (0.000, 0.000, 0.000)  -0.06
Sc (0.750, 0.750, 0.750)  0.00
Gd (0.500, 0.500, 0.500)  7.18
Ho (0.250, 0.250, 0.250)  0.03



This record from Alexandria describes a relaxed PrGdHoTh crystal. The functional is PBE.

Properties
**Energy of formation from the pure elements**: 0.1440 eV/atom

Cell: 5.717 5.717 5.717 Å, 60.00 60.00 60.00°
Last column: magnetic moment on the atom in μB.
Element x y z (fractional)
Pr (0.250, 0.250, 0.250)  0.03
Gd (0.500, 0.500, 0.500)  7.23
Ho (0.000, 0.000, 0.000)  -0.04
Th (0.750, 0.750, 0.750)  0.09



This record from Alexandria describes a relaxed PrGdHoTl crystal. The functional is PBE.

Properties
**Energy of formation from the pure elements**: -0.0764 eV/atom

Cell: 5.550 5.550 5.550 Å, 60.00 60.00 60.00°
Last column: magnetic moment on the atom in μB.
Element x y z (fractional)
Pr (0.500, 0.500, 0.500)  0.16
Tl (0.250, 0.250, 0.250)  -0.01
Gd (0.000, 0.000, 0.000)  7.31
Ho (0.750, 0.750, 0.750)  0.35



This record from Alexandria describes a relaxed PrGdHoTm crystal. The functional is PBE.

Properties
**Energy of formation from the pure elements**: 0.1007 eV/atom

Cell: 5.698 5.698 5.698 Å, 60.00 60.00 60.00°
Last column: magnetic moment on the atom in μB.
Element x y z (fractional)
Gd (0.000, 0.000, 0.000)  7.21
Pr (0.500, 0.500, 0.500)  -0.03
Tm (0.250, 0.250, 0.250)  0.05
Ho (0.750, 0.750, 0.750)  0.06



This record from Alexandria describes a relaxed PrGdHoZn crystal. The functional is PBE.

Properties
**Energy of formation from the pure elements**: 0.0273 eV/atom

Cell: 5.416 5.416 5.416 Å, 60.00 60.00 60.00°
Last column: magnetic moment on the atom in μB.
Element x y z (fractional)
Pr (0.250, 0.250, 0.250)  -0.07
Zn (0.000, 0.000, 0.000)  0.01
Gd (0.750, 0.750, 0.750)  -7.19
Ho (0.500, 0.500, 0.500)  -0.14



This record from Alexandria describes a relaxed GdHoPt4 crystal. The functional is PBE.

Properties
**Energy of formation from the pure elements**: -1.1187 eV/atom

Cell: 5.441 5.441 5.441 Å, 60.00 60.00 60.00°
Last column: magnetic moment on the atom in μB.
Element x y z (fractional)
Gd (0.000, 0.000, 0.000)  6.97
Ho (0.250, 0.250, 0.250)  0.04
Pt (0.625, 0.625, 0.125)  -0.01
Pt (0.625, 0.125, 0.625)  -0.01
Pt (0.625, 0.625, 0.625)  -0.01
Pt (0.125, 0.625, 0.625)  -0.01



This record from Alexandria describes a relaxed GdHo2Pt crystal. The functional is PBE.

Properties
**Energy of formation from the pure elements**: -0.5109 eV/atom

Cell: 3.883 3.883 9.528 Å, 78.24 78.24 60.00°
Last column: magnetic moment on the atom in μB.
Element x y z (fractional)
Gd (0.500, 0.500, 0.500)  7.36
Ho (0.274, 0.274, 0.179)  0.08
Ho (0.726, 0.726, 0.821)  0.08
Pt (0.000, 0.000, 0.000)  0.01



This record from Alexandria describes a relaxed GdHoPt2 crystal. The functional is PBE.

Properties
**Energy of formation from the pure elements**: -1.1968 eV/atom

Cell: 4.956 4.956 4.956 Å, 60.00 60.00 60.00°
Last column: magnetic moment on the atom in μB.
Element x y z (fractional)
Gd (0.500, 0.500, 0.500)  6.99
Ho (0.000, 0.000, 0.000)  0.04
Pt (0.250, 0.250, 0.250)  0.01
Pt (0.750, 0.750, 0.750)  0.01



This record from Alexandria describes a relaxed GdHoPt2 crystal. The functional is PBE.

Properties
**Energy of formation from the pure elements**: -1.1999 eV/atom

Cell: 3.471 4.975 4.975 Å, 90.00 90.00 90.00°
Last column: magnetic moment on the atom in μB.
Element x y z (fractional)
Gd (0.500, 0.000, 0.000)  6.99
Ho (0.500, 0.500, 0.500)  0.00
Pt (0.000, 0.000, 0.500)  0.00
Pt (0.000, 0.500, 0.000)  0.00



This record from Alexandria describes a relaxed GdHo2Pt crystal. The functional is PBE.

Properties
**Energy of formation from the pure elements**: -0.6054 eV/atom

Cell: 3.550 3.550 8.512 Å, 90.00 90.00 90.00°
Last column: magnetic moment on the atom in μB.
Element x y z (fractional)
Gd (0.500, 0.500, 0.500)  7.32
Ho (0.000, 0.000, 0.808)  0.10
Ho (0.000, 0.000, 0.192)  0.10
Pt (0.500, 0.500, 0.000)  0.00



This record from Alexandria describes a relaxed GdHoPt2 crystal. The functional is PBE.

Properties
**Energy of formation from the pure elements**: -1.1270 eV/atom

Cell: 4.075 4.075 7.071 Å, 73.25 73.25 60.00°
Last column: magnetic moment on the atom in μB.
Element x y z (fractional)
Gd (0.000, 0.000, 0.000)  6.97
Ho (0.500, 0.500, 0.500)  0.02
Pt (0.752, 0.752, 0.744)  0.00
Pt (0.248, 0.248, 0.256)  0.00